Compound: FeCu2Ni
Source: the Alexandria database
Functional: PBE-GGA
Structure: optimized geometry

Summary:
As for the density of states at the Fermi level: 2.04 states/eV/f.u. The total DFT energy (no corrections) is -5.467 eV/atom. The calculation puts the formation enthalpy at 0 K at 0.14 eV/atom. The calculated volume is 46.68 Å³/cell.

The structure in extended XYZ format:
```
4
Lattice="0.000 2.858 2.858 2.858 0.000 2.858 2.858 2.858 0.000" Properties=species:S:1:pos:R:3 pbc="T T T"
Ni 2.858 2.858 2.858
Fe 0.000 0.000 0.000
Cu 1.429 1.429 1.429
Cu 4.287 4.287 4.287
```